[1]
! Li2Tl2Pb3, optimized geometry, DFT PBE; values from VASP
&SYSTEM
  ibrav = 0, nat = 7, ntyp = 3
/
ATOMIC_SPECIES
Pb 207.20 Pb.upf
Tl 204.38 Tl.upf
Li 6.94 Li.upf
CELL_PARAMETERS angstrom
-1.776 -3.596 -2.509
-1.187 -4.724 3.150
-7.960 -0.317 1.629
ATOMIC_POSITIONS angstrom
Pb -5.799 -3.291 -0.099
Pb -5.125 -5.346 2.369
Pb -0.888 -1.798 -1.255
Tl -8.376 -5.651 0.647
Tl -2.548 -2.987 1.624
Li -3.132 -3.661 -1.456
Li -7.791 -4.976 3.726
! Energy relative to the elements   -0.108 eV/atom
! Uncorrected energy   -0.1073 hartree per atom

---

[2]
! ErZnAgIr, optimized geometry, DFT PBE; values from VASP
&SYSTEM
  ibrav = 0, nat = 4, ntyp = 4
/
ATOMIC_SPECIES
Ag 107.87 Ag.upf
Ir 192.22 Ir.upf
Zn 65.41 Zn.upf
Er 167.26 Er.upf
CELL_PARAMETERS angstrom
4.680 0.000 0.000
2.340 4.053 0.000
2.340 1.351 3.821
ATOMIC_POSITIONS angstrom
Ag 2.340 1.351 0.955
Ir 7.020 4.053 2.866
Zn 4.680 2.702 1.911
Er 0.000 0.000 0.000
! Energy relative to the elements   -0.360 eV/atom
! Uncorrected energy   -0.1745 hartree per atom

---

[3]
! Ta5Re4W, optimized geometry, DFT PBE; values from VASP
&SYSTEM
  ibrav = 0, nat = 10, ntyp = 3
/
ATOMIC_SPECIES
Re 186.21 Re.upf
Ta 180.95 Ta.upf
W 183.84 W.upf
CELL_PARAMETERS angstrom
-2.564 -0.129 1.922
-0.202 -3.164 -0.483
9.608 -2.543 12.650
ATOMIC_POSITIONS angstrom
Re 3.848 -1.018 5.067
Re 7.670 -2.030 10.099
Re 5.760 -1.524 7.583
Re 1.938 -0.513 2.551
Ta 7.248 -3.931 12.084
Ta -0.407 -1.905 2.005
Ta 5.335 -3.424 9.565
Ta 1.507 -2.412 4.525
Ta 3.421 -2.918 7.045
W 0.000 0.000 0.000
! Energy relative to the elements   -0.363 eV/atom
! Uncorrected energy   -0.4617 hartree per atom

---

[4]
! EuZnGaAg, optimized geometry, DFT PBE; values from VASP
&SYSTEM
  ibrav = 0, nat = 4, ntyp = 4
/
ATOMIC_SPECIES
Zn 65.41 Zn.upf
Ag 107.87 Ag.upf
Ga 69.72 Ga.upf
Eu 151.96 Eu.upf
CELL_PARAMETERS angstrom
-4.507 -0.527 1.778
-3.633 -1.383 -2.939
-1.938 -4.449 0.449
ATOMIC_POSITIONS angstrom
Zn 0.000 0.000 0.000
Ag -2.519 -1.590 -0.178
Ga -5.039 -3.179 -0.356
Eu -7.558 -4.769 -0.534
! Energy relative to the elements   -0.251 eV/atom
! Uncorrected energy   -0.1693 hartree per atom

---

[5]
! YTcHg, optimized geometry, DFT PBE; values from VASP
&SYSTEM
  ibrav = 0, nat = 3, ntyp = 3
/
ATOMIC_SPECIES
Hg 200.59 Hg.upf
Y 88.91 Y.upf
Tc 98.00 Tc.upf
CELL_PARAMETERS angstrom
4.708 0.000 0.000
-2.354 4.077 0.000
0.000 0.000 3.466
ATOMIC_POSITIONS angstrom
Hg 0.000 0.000 0.577
Y 0.000 2.718 2.310
Tc 2.354 1.359 0.579
! E above lowest polymorph   84.1 meV/atom
! Energy relative to the elements   0.238 eV/atom
! Uncorrected energy   -0.2011 hartree per atom

---

[6]
! Ti6NbIr, optimized geometry, DFT PBE; values from VASP
&SYSTEM
  ibrav = 0, nat = 8, ntyp = 3
/
ATOMIC_SPECIES
Ti 47.87 Ti.upf
Ir 192.22 Ir.upf
Nb 92.91 Nb.upf
CELL_PARAMETERS angstrom
-1.244 3.464 4.660
-4.621 -0.491 -3.698
0.869 -4.639 1.844
ATOMIC_POSITIONS angstrom
Ti -4.137 1.039 1.180
Ti -2.042 -1.243 -1.092
Ti -2.954 -0.423 3.899
Ti -0.583 0.466 2.520
Ti -0.859 -2.704 1.627
Ti -4.413 -2.132 0.287
Ir -2.498 -0.833 1.403
Nb 0.000 0.000 0.000
! Energy relative to the elements   0.171 eV/atom
! Uncorrected energy   -0.2983 hartree per atom

---

[7]
! CsCeGaS4, optimized geometry, DFT PBE; values from VASP
&SYSTEM
  ibrav = 0, nat = 14, ntyp = 4
/
ATOMIC_SPECIES
Cs 132.91 Cs.upf
S 32.06 S.upf
Ga 69.72 Ga.upf
Ce 140.12 Ce.upf
CELL_PARAMETERS angstrom
6.533 0.000 -0.193
0.000 6.730 0.000
-2.816 0.000 9.153
ATOMIC_POSITIONS angstrom
Cs 2.194 5.047 8.487
Cs 1.522 1.682 0.473
S -1.848 3.421 6.306
S 2.377 1.682 3.766
S 1.457 1.682 7.312
S -1.848 6.673 6.306
S 5.564 3.308 2.654
S 1.339 5.047 5.194
S 5.564 0.056 2.654
S 2.259 5.047 1.648
Ga 0.517 5.047 3.074
Ga 3.199 1.682 5.886
Ce 3.760 5.047 3.962
Ce -0.044 1.682 4.998
! ΔE_f (raw)   -1.334 eV per atom
! Uncorrected energy   -0.1872 hartree per atom

---

[8]
! AcMnP, optimized geometry, DFT PBE; values from VASP
&SYSTEM
  ibrav = 0, nat = 6, ntyp = 3
/
ATOMIC_SPECIES
Mn 54.94 Mn.upf
P 30.97 P.upf
Ac 227.00 Ac.upf
CELL_PARAMETERS angstrom
3.847 0.000 0.225
0.000 3.853 0.000
-0.540 0.000 9.194
ATOMIC_POSITIONS angstrom
Mn 2.885 0.963 0.169
Mn 0.422 2.890 9.250
P 2.812 2.890 1.419
P 0.495 0.963 8.001
Ac 2.505 2.890 6.633
Ac 0.802 0.963 2.787
! Energy relative to the elements   -0.788 eV/atom
! Uncorrected energy   -0.2579 hartree per atom